A plane-wave DFT calculation with PBE was carried out for a relaxed structure of Sc2BrCl.

Results
As for the space group: P4/mmm, No. 123. The calculation puts the total energy at -19.0 eV/cell. Its energy above the most stable polymorph in this dataset is 0.566 eV per atom.

Lattice parameters (Å, degrees): 3.3586 3.3586 6.7094 90.00 90.00 90.00
Atoms (fractional coordinates):
Br1 0.5000 0.5000 0.2500
Sc1 0.0000 0.0000 0.9953
Sc2 0.0000 0.0000 0.5047
Cl1 0.5000 0.5000 0.7500